<A>
Computed, not measured: crystalline RbReI2O at its relaxed geometry at the GGA-PBE level of DFT.

Results
SG: P4/mmm, No. 123

Cell and atoms, written as POSCAR:
```
RbReI2O
1.0
6.545 0.000 0.000
0.000 4.396 0.000
0.000 0.000 6.545
I O Re Rb
2 1 1 1
Cartesian
0.000 0.000 3.273 I
3.273 0.000 0.000 I
0.000 2.198 0.000 O
3.273 2.198 3.273 Re
0.000 0.000 0.000 Rb
```

<B>
Computed, not measured: crystalline RbReI2O at its relaxed geometry at the GGA-PBE level of DFT.

Results
SG: P4/mmm, No. 123

Cell and atoms, written as POSCAR:
```
RbReI2O
1.0
5.898 0.000 0.000
0.000 5.898 0.000
0.000 0.000 3.845
I Rb Re O
2 1 1 1
Cartesian
0.000 2.949 0.000 I
2.949 0.000 0.000 I
2.949 2.949 1.923 Rb
0.000 0.000 0.000 Re
0.000 0.000 1.923 O
```

Stability summary - winner: <B>; margin: 1974 meV per atom.